The following is a DFT calculation (PBE-GGA) of crystalline MnCdSnRh at its relaxed geometry.

Lattice parameters (Å, degrees): 4.6148 4.6148 4.6148 60.00 60.00 60.00
Closest atoms and distances in Å follow each position.
Sites, in units of the cell vectors:
1 Cd 0.7500 0.7500 0.7500  4 Rh 2.83, 4 Mn 2.83
2 Rh 0.0000 0.0000 0.0000  4 Sn 2.83, 4 Cd 2.83
3 Mn 0.5000 0.5000 0.5000  4 Cd 2.83, 4 Sn 2.83
4 Sn 0.2500 0.2500 0.2500  4 Mn 2.83, 4 Rh 2.83

Properties
M_tot = 3.86 μB/f.u.
Volume = 69.5 Å³ per cell
Space group = No. 216
Formation enthalpy at 0 K = -0.0496 eV/atom

***

The following is a DFT calculation (PBE-GGA) of crystalline La2GeAs at its relaxed geometry.

Lattice parameters (Å, degrees): 4.3021 4.3021 7.8961 74.19 74.19 60.00
Closest atoms and distances in Å follow each position.
Sites, in units of the cell vectors:
1 Ge 0.0000 0.0000 0.0000  6 La 3.16
2 As 0.5000 0.5000 0.5000  6 La 3.07
3 La 0.2467 0.2467 0.2599  3 As 3.07, 3 Ge 3.16
4 La 0.7533 0.7533 0.7401  3 As 3.07, 3 Ge 3.16

Properties
M_tot = 0.00 μB/f.u.
Volume = 120.1 Å³ per cell
Space group = No. 166
Excess energy over the best structure of this formula in the dataset = 0.108 eV/atom
Formation enthalpy at 0 K = -1.0931 eV/atom

***

The following is a DFT calculation (PBE-GGA) of crystalline TbMg2Sc6 at its relaxed geometry.

Lattice parameters (Å, degrees): 8.2965 8.2256 8.2256 66.01 65.99 65.99
Closest atoms and distances in Å follow each position.
Sites, in units of the cell vectors:
1 Sc 0.0705 0.0867 0.5866  9 Sc 3.13-3.40, 1 Tb 3.25, 4 Mg 3.41-3.48
2 Sc 0.1724 0.4959 0.3311  2 Mg 2.97-3.20, 4 Sc 3.00-3.30
3 Sc 0.8276 0.5041 0.6689  2 Mg 2.97-3.20, 4 Sc 3.00-3.30
4 Mg 0.4999 0.8376 0.6625  1 Mg 2.91, 4 Sc 2.97-3.20
5 Sc 0.4295 0.4134 0.9133  9 Sc 3.13-3.40, 1 Tb 3.25, 4 Mg 3.41-3.48
6 Sc 0.8276 0.1690 0.0039  2 Mg 2.97-3.20, 4 Sc 3.00-3.30
7 Tb 0.7500 0.7500 0.2500  10 Sc 3.25-3.45, 4 Mg 3.37
8 Sc 0.6724 0.3311 0.4959  2 Mg 2.97-3.20, 4 Sc 3.00-3.30
9 Mg 0.0001 0.3375 0.1624  1 Mg 2.91, 4 Sc 2.97-3.20
10 Sc 0.6724 0.9961 0.8310  2 Mg 2.97-3.20, 4 Sc 3.00-3.30
11 Sc 0.3276 0.0039 0.1690  2 Mg 2.97-3.20, 4 Sc 3.00-3.30
12 Sc 0.3276 0.6689 0.5041  2 Mg 2.97-3.20, 4 Sc 3.00-3.30
13 Sc 0.5705 0.5866 0.0867  9 Sc 3.13-3.40, 1 Tb 3.25, 4 Mg 3.41-3.48
14 Sc 0.9295 0.9133 0.4134  9 Sc 3.13-3.40, 1 Tb 3.25, 4 Mg 3.41-3.48
15 Mg 0.9999 0.6625 0.8376  1 Mg 2.91, 4 Sc 2.97-3.20
16 Tb 0.2500 0.2500 0.7500  10 Sc 3.25-3.45, 4 Mg 3.37
17 Mg 0.5001 0.1624 0.3375  1 Mg 2.91, 4 Sc 2.97-3.20
18 Sc 0.1724 0.8310 0.9961  2 Mg 2.97-3.20, 4 Sc 3.00-3.30

Properties
M_tot = 0.00 μB/f.u.
Volume = 448.4 Å³ per cell
Space group = No. 12
Formation enthalpy at 0 K = 0.0530 eV/atom

***

The following is a DFT calculation (PBE-GGA) of crystalline Al2PbSe at its relaxed geometry.

Lattice parameters (Å, degrees): 5.4572 4.2996 4.0861 87.79 90.00 90.00
Closest atoms and distances in Å follow each position.
Sites, in units of the cell vectors:
1 Al 0.0000 0.5095 0.5108  4 Al 2.90-3.14, 2 Se 3.09, 2 Pb 3.15
2 Al 0.0000 0.9905 0.9892  4 Al 2.90-3.14, 2 Se 3.09, 2 Pb 3.15
3 Se 0.5000 0.7500 0.7500  4 Pb 2.91-3.02, 4 Al 3.09
4 Pb 0.5000 0.2500 0.2500  4 Se 2.91-3.02, 4 Al 3.15

Properties
M_tot = 0.00 μB/f.u.
Volume = 95.8 Å³ per cell
E_form (uncorrected) = 83 meV/atom
Space group = No. 10
Excess energy over the best structure of this formula in the dataset = 0.224 eV/atom

***

The following is a DFT calculation (PBE-GGA) of crystalline TiSbMo3 at its relaxed geometry.

Lattice parameters (Å, degrees): 4.6199 4.6199 4.6199 90.00 90.00 90.00
Closest atoms and distances in Å follow each position.
Sites, in units of the cell vectors:
1 Mo 0.0000 0.5000 0.0000  2 Ti 2.31
2 Mo 0.0000 0.0000 0.5000  2 Ti 2.31
3 Mo 0.5000 0.0000 0.0000  2 Ti 2.31
4 Sb 0.5000 0.5000 0.5000  12 Mo 3.27
5 Ti 0.0000 0.0000 0.0000  6 Mo 2.31

Properties
M_tot = 1.53 μB/f.u.
Volume = 98.6 Å³ per cell
E_form (uncorrected) = 1360 meV/atom
Space group = No. 221
Excess energy over the best structure of this formula in the dataset = 0.000 eV/atom

***

The following is a DFT calculation (PBE-GGA) of crystalline Al2Ag2GeO6 at its relaxed geometry.

Lattice parameters (Å, degrees): 4.9865 4.9865 6.3145 99.45 99.45 119.74
Closest atoms and distances in Å follow each position.
Sites, in units of the cell vectors:
1 O 0.2624 0.2624 0.3355  1 Ge 1.92, 2 Al 1.94
2 O 0.7376 0.7376 0.6645  1 Ge 1.92, 2 Al 1.94
3 O 0.5985 0.9339 0.3340  2 Al 1.92-1.95, 1 Ge 1.94
4 O 0.0661 0.4015 0.6660  2 Al 1.92-1.95, 1 Ge 1.94
5 Al 0.3327 0.6673 0.5000  6 O 1.92-1.95
6 Ge 0.0000 0.0000 0.5000  6 O 1.92-1.94
7 Ag 0.8299 0.1701 0.0000  6 O 2.52-2.73
8 O 0.9339 0.5985 0.3340  2 Al 1.92-1.95, 1 Ge 1.94
9 Ag 0.1701 0.8299 0.0000  6 O 2.52-2.73
10 Al 0.6673 0.3327 0.5000  6 O 1.92-1.95
11 O 0.4015 0.0661 0.6660  2 Al 1.92-1.95, 1 Ge 1.94

Properties
M_tot = 0.00 μB/f.u.
Volume = 128.8 Å³ per cell
E_form (uncorrected) = -1777 meV/atom
Space group = No. 12

***

The following is a DFT calculation (PBE-GGA) of crystalline SrAs2IBr at its relaxed geometry.

Lattice parameters (Å, degrees): 6.2954 6.2954 5.6647 90.00 90.00 90.00
Closest atoms and distances in Å follow each position.
Sites, in units of the cell vectors:
1 As 0.5000 0.0000 0.0000  2 Sr 3.15
2 Br 0.0000 0.0000 0.5000  2 Sr 2.83
3 Sr 0.0000 0.0000 0.0000  2 Br 2.83, 4 As 3.15
4 As 0.0000 0.5000 0.0000  2 Sr 3.15
5 I 0.5000 0.5000 0.5000  8 As 4.23, 4 Br 4.45

Properties
M_tot = 3.93 μB/f.u.
Volume = 224.5 Å³ per cell
E_form (uncorrected) = 306 meV/atom
Space group = No. 123
Excess energy over the best structure of this formula in the dataset = 0.172 eV/atom

***

The following is a DFT calculation (PBE-GGA) of crystalline LiCe3Nd4Se8 at its relaxed geometry.

Lattice parameters (Å, degrees): 8.3948 8.4074 8.3952 119.96 120.00 90.00
Closest atoms and distances in Å follow each position.
Sites, in units of the cell vectors:
1 Nd 0.5000 0.0000 0.5000  6 Se 2.98
2 Nd 0.0000 0.0000 0.0000  6 Se 2.98
3 Nd 0.0000 0.0000 0.5000  6 Se 2.98
4 Li 0.0000 0.5000 0.0000  6 Se 2.89
5 Se 0.7567 0.2581 0.0014  1 Li 2.89, 2 Ce 2.96, 3 Nd 2.98-3.05
6 Ce 0.5000 0.5000 0.0000  6 Se 2.96
7 Se 0.7567 0.2582 0.5135  1 Li 2.89, 2 Ce 2.96, 3 Nd 2.98-3.05
8 Se 0.7552 0.7419 0.9986  1 Li 2.89, 2 Ce 2.96, 3 Nd 2.98-3.05
9 Se 0.2507 0.2521 0.5014  3 Ce 2.96, 3 Nd 2.98
10 Nd 0.5000 0.0000 0.0000  6 Se 3.05
11 Ce 0.0000 0.5000 0.5000  6 Se 2.96
12 Se 0.2433 0.7418 0.4865  1 Li 2.89, 2 Ce 2.96, 3 Nd 2.98-3.05
13 Se 0.7493 0.7479 0.4986  3 Ce 2.96, 3 Nd 2.98
14 Ce 0.5000 0.5000 0.5000  6 Se 2.96
15 Se 0.2448 0.2581 0.0014  1 Li 2.89, 2 Ce 2.96, 3 Nd 2.98-3.05
16 Se 0.2433 0.7419 0.9986  1 Li 2.89, 2 Ce 2.96, 3 Nd 2.98-3.05

Properties
M_tot = 3.03 μB/f.u.
Volume = 419.3 Å³ per cell
E_form (uncorrected) = -1793 meV/atom
Space group = No. 166